This record from the Alexandria database describes an optimized crystal structure of Mg3Zn8Pd2. The functional is PBE.

Values from the calculation:
E, eV per atom: -2.13
Total moment, μB/cell: 0.00
SG: R-3m
E_form, eV/atom: -0.18

a b c (Å): 10.4978 10.4978 10.4978
angles (deg): 27.53 27.53 27.53
Last column: nearest neighbours and their distance in Å.
Fractional positions:
Mg1 0.0000 0.0000 0.0000  6 Pd 3.00, 12 Zn 3.33-3.34
Mg2 0.1834 0.1834 0.1834  10 Zn 2.87-2.93, 3 Mg 3.06
Mg3 0.8166 0.8166 0.8166  10 Zn 2.87-2.93, 3 Mg 3.06
Zn1 0.2324 0.7343 0.7343  4 Zn 2.49-2.51, 1 Pd 2.64
Zn2 0.2657 0.2657 0.7676  4 Zn 2.49-2.51, 1 Pd 2.64
Zn3 0.2657 0.7676 0.2657  4 Zn 2.49-2.51, 1 Pd 2.64
Zn4 0.2783 0.2783 0.2783  1 Pd 2.48
Zn5 0.7217 0.7217 0.7217  1 Pd 2.48
Zn6 0.7343 0.2324 0.7343  4 Zn 2.49-2.51, 1 Pd 2.64
Zn7 0.7343 0.7343 0.2324  4 Zn 2.49-2.51, 1 Pd 2.64
Zn8 0.7676 0.2657 0.2657  4 Zn 2.49-2.51, 1 Pd 2.64
Pd1 0.3601 0.3601 0.3601  4 Zn 2.48-2.64
Pd2 0.6399 0.6399 0.6399  4 Zn 2.48-2.64

---

This record from the Alexandria database describes an optimized crystal structure of MgZn2Pd2. The functional is PBE.

Values from the calculation:
E, eV per atom: -3.21
ΔE to the lowest computed polymorph, meV per atom: 209
Total moment, μB/cell: 0.00
SG: I4/mmm
E_form, eV/atom: -0.30

a b c (Å): 4.0677 4.0677 10.6121
angles (deg): 90.00 90.00 90.00
Last column: nearest neighbours and their distance in Å.
Fractional positions:
Mg1 0.0000 0.0000 0.0000  8 Zn 3.11, 8 Pd 3.34
Mg2 0.5000 0.5000 0.5000  8 Zn 3.11, 8 Pd 3.34
Zn1 0.0000 0.0000 0.3883  1 Zn 2.37, 4 Pd 2.51
Zn2 0.0000 0.0000 0.6117  1 Zn 2.37, 4 Pd 2.51
Zn3 0.5000 0.5000 0.1117  1 Zn 2.37, 4 Pd 2.51
Zn4 0.5000 0.5000 0.8883  1 Zn 2.37, 4 Pd 2.51
Pd1 0.0000 0.5000 0.2500  4 Zn 2.51
Pd2 0.0000 0.5000 0.7500  4 Zn 2.51
Pd3 0.5000 0.0000 0.2500  4 Zn 2.51
Pd4 0.5000 0.0000 0.7500  4 Zn 2.51

---

This record from the Alexandria database describes an optimized crystal structure of Mg5Zn2Pd. The functional is PBE.

Values from the calculation:
E, eV per atom: -2.18
Total moment, μB/cell: 0.00
SG: I4/mcm
E_form, eV/atom: -0.22

a b c (Å): 7.9049 7.9049 7.9049
angles (deg): 127.07 127.07 78.14
Last column: nearest neighbours and their distance in Å.
Fractional positions:
Mg1 0.0000 0.0000 0.0000  4 Zn 2.78, 2 Pd 3.07
Mg2 0.0148 0.5148 0.8369  3 Zn 2.77-2.83, 1 Mg 2.87, 2 Pd 2.87
Mg3 0.1779 0.0148 0.5000  3 Zn 2.77-2.83, 1 Mg 2.87, 2 Pd 2.87
Mg4 0.3221 0.8221 0.8369  3 Zn 2.77-2.83, 1 Mg 2.87, 2 Pd 2.87
Mg5 0.4852 0.3221 0.5000  3 Zn 2.77-2.83, 1 Mg 2.87, 2 Pd 2.87
Mg6 0.5000 0.5000 0.0000  4 Zn 2.78, 2 Pd 3.07
Mg7 0.5148 0.6779 0.5000  3 Zn 2.77-2.83, 1 Mg 2.87, 2 Pd 2.87
Mg8 0.6779 0.1779 0.1631  3 Zn 2.77-2.83, 1 Mg 2.87, 2 Pd 2.87
Mg9 0.8221 0.9852 0.5000  3 Zn 2.77-2.83, 1 Mg 2.87, 2 Pd 2.87
Mg10 0.9852 0.4852 0.1631  3 Zn 2.77-2.83, 1 Mg 2.87, 2 Pd 2.87
Zn1 0.1273 0.3727 0.5000  1 Zn 2.54, 8 Mg 2.77-2.83
Zn2 0.3727 0.8727 0.2454  1 Zn 2.54, 8 Mg 2.77-2.83
Zn3 0.6273 0.1273 0.7546  1 Zn 2.54, 8 Mg 2.77-2.83
Zn4 0.8727 0.6273 0.5000  1 Zn 2.54, 8 Mg 2.77-2.83
Pd1 0.2500 0.2500 0.0000  10 Mg 2.87-3.07
Pd2 0.7500 0.7500 0.0000  10 Mg 2.87-3.07

---

This record from the Alexandria database describes an optimized crystal structure of Mg4ZnPd5. The functional is PBE.

Values from the calculation:
E, eV per atom: -4.06
Total moment, μB/cell: 0.00
SG: P4/mmm
E_form, eV/atom: -0.70

a b c (Å): 3.2147 3.2147 15.2154
angles (deg): 90.00 90.00 90.00
Last column: nearest neighbours and their distance in Å.
Fractional positions:
Mg1 0.0000 0.0000 0.1016  8 Pd 2.75
Mg2 0.0000 0.0000 0.3043  8 Pd 2.75, 1 Zn 2.98
Mg3 0.0000 0.0000 0.6957  8 Pd 2.75, 1 Zn 2.98
Mg4 0.0000 0.0000 0.8984  8 Pd 2.75
Zn1 0.0000 0.0000 0.5000  8 Pd 2.69, 2 Mg 2.98
Pd1 0.5000 0.5000 0.0000  8 Mg 2.75
Pd2 0.5000 0.5000 0.2029  8 Mg 2.75
Pd3 0.5000 0.5000 0.4057  4 Zn 2.69, 4 Mg 2.75, 1 Pd 2.87
Pd4 0.5000 0.5000 0.5943  4 Zn 2.69, 4 Mg 2.75, 1 Pd 2.87
Pd5 0.5000 0.5000 0.7971  8 Mg 2.75

---

This record from the Alexandria database describes an optimized crystal structure of MgZn2Pd2. The functional is PBE.

Values from the calculation:
E, eV per atom: -3.42
ΔE to the lowest computed polymorph, meV per atom: 0
Total moment, μB/cell: 0.00
SG: P4/mbm
E_form, eV/atom: -0.51

a b c (Å): 7.2921 7.2921 2.9638
angles (deg): 90.00 90.00 90.00
Last column: nearest neighbours and their distance in Å.
Fractional positions:
Mg1 0.0000 0.0000 0.0000  4 Zn 2.88, 2 Mg 2.96, 8 Pd 3.08
Mg2 0.5000 0.5000 0.0000  4 Zn 2.88, 2 Mg 2.96, 8 Pd 3.08
Zn1 0.1246 0.3754 0.0000  6 Pd 2.56-2.65, 1 Zn 2.57
Zn2 0.3754 0.8754 0.0000  6 Pd 2.56-2.65, 1 Zn 2.57
Zn3 0.6246 0.1246 0.0000  6 Pd 2.56-2.65, 1 Zn 2.57
Zn4 0.8754 0.6246 0.0000  6 Pd 2.56-2.65, 1 Zn 2.57
Pd1 0.1732 0.6732 0.5000  6 Zn 2.56-2.65
Pd2 0.3268 0.1732 0.5000  6 Zn 2.56-2.65
Pd3 0.6732 0.8268 0.5000  6 Zn 2.56-2.65
Pd4 0.8268 0.3268 0.5000  6 Zn 2.56-2.65

---

This record from the Alexandria database describes an optimized crystal structure of Mg5ZnPd6. The functional is PBE.

Values from the calculation:
E, eV per atom: -4.07
Total moment, μB/cell: 0.00
SG: C2/m
E_form, eV/atom: -0.70

a b c (Å): 7.8368 7.8368 4.5599
angles (deg): 106.85 106.85 122.26
Last column: nearest neighbours and their distance in Å.
Fractional positions:
Mg1 0.0000 0.0000 0.0000  8 Pd 2.72-2.76, 2 Zn 3.03
Mg2 0.1665 0.8335 0.5000  8 Pd 2.74-2.77, 2 Mg 3.03
Mg3 0.3314 0.6686 0.0000  8 Pd 2.72-2.76, 2 Mg 3.03
Mg4 0.6686 0.3314 0.0000  8 Pd 2.72-2.76, 2 Mg 3.03
Mg5 0.8335 0.1665 0.5000  8 Pd 2.74-2.77, 2 Mg 3.03
Zn1 0.5000 0.5000 0.5000  8 Pd 2.70-2.72
Pd1 0.0893 0.4170 0.2535  1 Zn 2.70, 7 Mg 2.72-2.77, 1 Pd 2.99
Pd2 0.2560 0.2560 0.7554  2 Zn 2.71-2.72, 6 Mg 2.75-2.76, 1 Pd 2.95
Pd3 0.4170 0.0893 0.2535  1 Zn 2.70, 7 Mg 2.72-2.77, 1 Pd 2.99
Pd4 0.5830 0.9107 0.7465  1 Zn 2.70, 7 Mg 2.72-2.77, 1 Pd 2.99
Pd5 0.7440 0.7440 0.2446  2 Zn 2.71-2.72, 6 Mg 2.75-2.76, 1 Pd 2.95
Pd6 0.9107 0.5830 0.7465  1 Zn 2.70, 7 Mg 2.72-2.77, 1 Pd 2.99

---

This record from the Alexandria database describes an optimized crystal structure of Mg5Zn6Pd. The functional is PBE.

Values from the calculation:
E, eV per atom: -1.85
Total moment, μB/cell: 0.00
SG: C2/m
E_form, eV/atom: -0.11

a b c (Å): 5.1940 5.1940 9.3992
angles (deg): 95.80 95.80 122.34
Last column: nearest neighbours and their distance in Å.
Fractional positions:
Mg1 0.0000 0.0000 0.0000  6 Zn 2.87-2.97, 6 Mg 2.94-3.02
Mg2 0.1641 0.8359 0.5000  6 Zn 2.83-2.88, 3 Pd 2.92-3.06, 3 Mg 2.95-2.99
Mg3 0.3316 0.6684 0.0000  6 Zn 2.88-2.95, 6 Mg 2.91-3.06
Mg4 0.6684 0.3316 0.0000  6 Zn 2.88-2.95, 6 Mg 2.91-3.06
Mg5 0.8359 0.1641 0.5000  6 Zn 2.83-2.88, 3 Pd 2.92-3.06, 3 Mg 2.95-2.99
Zn1 0.1057 0.4197 0.2559  1 Pd 2.75, 5 Zn 2.77-3.02, 5 Mg 2.86-2.95
Zn2 0.2637 0.2637 0.7452  4 Zn 2.77-3.00, 1 Pd 2.80, 5 Mg 2.83-2.97
Zn3 0.4197 0.1057 0.2559  1 Pd 2.75, 5 Zn 2.77-3.02, 5 Mg 2.86-2.95
Zn4 0.5803 0.8943 0.7441  1 Pd 2.75, 5 Zn 2.77-3.02, 5 Mg 2.86-2.95
Zn5 0.7363 0.7363 0.2548  4 Zn 2.77-3.00, 1 Pd 2.80, 5 Mg 2.83-2.97
Zn6 0.8943 0.5803 0.7441  1 Pd 2.75, 5 Zn 2.77-3.02, 5 Mg 2.86-2.95
Pd1 0.5000 0.5000 0.5000  6 Zn 2.75-2.80, 6 Mg 2.92-3.06

---

This record from the Alexandria database describes an optimized crystal structure of MgZn4Pd. The functional is PBE.

Values from the calculation:
E, eV per atom: -2.26
Total moment, μB/cell: 0.00
SG: F-43m
E_form, eV/atom: -0.28

a b c (Å): 5.0389 5.0389 5.0389
angles (deg): 60.00 60.00 60.00
Last column: nearest neighbours and their distance in Å.
Fractional positions:
Mg1 0.0000 0.0000 0.0000  12 Zn 2.96, 4 Pd 3.09
Zn1 0.3756 0.3756 0.3756  6 Zn 2.51-2.53
Zn2 0.3756 0.3756 0.8733  6 Zn 2.51-2.53
Zn3 0.3756 0.8733 0.3756  6 Zn 2.51-2.53
Zn4 0.8733 0.3756 0.3756  6 Zn 2.51-2.53
Pd1 0.7500 0.7500 0.7500  12 Zn 2.95, 4 Mg 3.09

---

This record from the Alexandria database describes an optimized crystal structure of Mg8ZnPd2. The functional is PBE.

Values from the calculation:
E, eV per atom: -2.54
ΔE to the lowest computed polymorph, meV per atom: 0
Total moment, μB/cell: 0.00
SG: C2/m
E_form, eV/atom: -0.32

a b c (Å): 7.9629 7.9629 6.7537
angles (deg): 112.80 112.80 33.12
Last column: nearest neighbours and their distance in Å.
Fractional positions:
Mg1 0.0254 0.0254 0.2514  1 Pd 2.71, 2 Zn 2.94, 2 Mg 2.99
Mg2 0.1829 0.1829 0.7605  3 Pd 2.75-2.95, 4 Mg 2.99-3.03
Mg3 0.3291 0.3291 0.5706  3 Pd 2.71-2.93, 1 Zn 2.84, 2 Mg 2.99-3.00
Mg4 0.3914 0.3914 0.0522  2 Pd 2.71, 1 Zn 2.80, 6 Mg 2.99-3.03
Mg5 0.6086 0.6086 0.9478  2 Pd 2.71, 1 Zn 2.80, 6 Mg 2.99-3.03
Mg6 0.6709 0.6709 0.4294  3 Pd 2.71-2.93, 1 Zn 2.84, 2 Mg 2.99-3.00
Mg7 0.8171 0.8171 0.2395  3 Pd 2.75-2.95, 4 Mg 2.99-3.03
Mg8 0.9746 0.9746 0.7486  1 Pd 2.71, 2 Zn 2.94, 2 Mg 2.99
Zn1 0.5000 0.5000 0.5000  8 Mg 2.80-2.94
Pd1 0.1849 0.1849 0.1693  9 Mg 2.71-2.95
Pd2 0.8151 0.8151 0.8307  9 Mg 2.71-2.95

---

This record from the Alexandria database describes an optimized crystal structure of Mg4ZnPd2. The functional is PBE.

Values from the calculation:
E, eV per atom: -2.92
ΔE to the lowest computed polymorph, meV per atom: 81
Total moment, μB/cell: 0.00
SG: C2/m
E_form, eV/atom: -0.34

a b c (Å): 13.6566 3.0361 7.0590
angles (deg): 90.00 117.90 90.00
Last column: nearest neighbours and their distance in Å.
Fractional positions:
Mg1 0.1008 0.0000 0.2372  3 Pd 2.70, 1 Zn 2.78
Mg2 0.1380 0.5000 0.8854  3 Pd 2.73-2.82, 2 Zn 2.91, 2 Mg 3.04
Mg3 0.3620 0.0000 0.1146  3 Pd 2.73-2.82, 2 Zn 2.91, 2 Mg 3.04
Mg4 0.3992 0.5000 0.7628  3 Pd 2.70, 1 Zn 2.78
Mg5 0.6008 0.5000 0.2372  3 Pd 2.70, 1 Zn 2.78
Mg6 0.6380 0.0000 0.8854  3 Pd 2.73-2.82, 2 Zn 2.91, 2 Mg 3.04
Mg7 0.8620 0.5000 0.1146  3 Pd 2.73-2.82, 2 Zn 2.91, 2 Mg 3.04
Mg8 0.8992 0.0000 0.7628  3 Pd 2.70, 1 Zn 2.78
Zn1 0.0000 0.0000 0.5000  2 Pd 2.65, 6 Mg 2.78-2.91
Zn2 0.5000 0.5000 0.5000  2 Pd 2.65, 6 Mg 2.78-2.91
Pd1 0.2188 0.0000 0.6687  1 Zn 2.65, 6 Mg 2.70-2.82
Pd2 0.2812 0.5000 0.3313  1 Zn 2.65, 6 Mg 2.70-2.82
Pd3 0.7188 0.5000 0.6687  1 Zn 2.65, 6 Mg 2.70-2.82
Pd4 0.7812 0.0000 0.3313  1 Zn 2.65, 6 Mg 2.70-2.82

---

This record from the Alexandria database describes an optimized crystal structure of MgZn4Pd7. The functional is PBE.

Values from the calculation:
E, eV per atom: -3.90
Total moment, μB/cell: 0.00
SG: C2/m
E_form, eV/atom: -0.31

a b c (Å): 6.3106 6.3106 8.9712
angles (deg): 122.97 122.97 42.51
Last column: nearest neighbours and their distance in Å.
Fractional positions:
Mg1 0.0000 0.0000 0.0000  2 Pd 2.29
Zn1 0.2919 0.2919 0.6632  8 Pd 2.53-2.79, 1 Zn 2.80
Zn2 0.4292 0.4292 0.2205  8 Pd 2.47-2.71
Zn3 0.5708 0.5708 0.7795  8 Pd 2.47-2.71
Zn4 0.7081 0.7081 0.3368  8 Pd 2.53-2.79, 1 Zn 2.80
Pd1 0.0722 0.0722 0.3370  5 Zn 2.53-2.79, 1 Mg 2.62, 1 Pd 2.75
Pd2 0.2160 0.2160 0.8780  4 Zn 2.55-2.68, 2 Pd 2.75-2.84
Pd3 0.3493 0.3493 0.4217  5 Zn 2.47-2.71
Pd4 0.5000 0.5000 0.0000  2 Mg 2.29, 4 Zn 2.55
Pd5 0.6507 0.6507 0.5783  5 Zn 2.47-2.71
Pd6 0.7840 0.7840 0.1220  4 Zn 2.55-2.68, 2 Pd 2.75-2.84
Pd7 0.9278 0.9278 0.6630  5 Zn 2.53-2.79, 1 Mg 2.62, 1 Pd 2.75

---

This record from the Alexandria database describes an optimized crystal structure of MgZn2Pd2. The functional is PBE.

Values from the calculation:
E, eV per atom: -3.38
ΔE to the lowest computed polymorph, meV per atom: 36
Total moment, μB/cell: 0.00
SG: P4/mbm
E_form, eV/atom: -0.48

a b c (Å): 7.3298 7.3298 2.9785
angles (deg): 90.00 90.00 90.00
Last column: nearest neighbours and their distance in Å.
Fractional positions:
Mg1 0.0000 0.0000 0.0000  4 Pd 2.80, 2 Mg 2.98
Mg2 0.5000 0.5000 0.0000  4 Pd 2.80, 2 Mg 2.98
Zn1 0.1491 0.3509 0.5000  6 Pd 2.58-2.64
Zn2 0.3509 0.8509 0.5000  6 Pd 2.58-2.64
Zn3 0.6491 0.1491 0.5000  6 Pd 2.58-2.64
Zn4 0.8509 0.6491 0.5000  6 Pd 2.58-2.64
Pd1 0.1480 0.6480 0.0000  6 Zn 2.58-2.64, 2 Mg 2.80
Pd2 0.3520 0.1480 0.0000  6 Zn 2.58-2.64, 2 Mg 2.80
Pd3 0.6480 0.8520 0.0000  6 Zn 2.58-2.64, 2 Mg 2.80
Pd4 0.8520 0.3520 0.0000  6 Zn 2.58-2.64, 2 Mg 2.80